# 1
A plane-wave DFT calculation with PBE was carried out for crystalline La4Nd2Bi3N2 at its relaxed geometry.

Properties
Space group   No. 139
Magnetization   0.00 μB per formula unit
Formation energy from raw total energies   -1.06 eV/atom
Uncorrected energy   -69.20 eV per cell

Unit cell a=14.0180 b=14.0180 c=14.0180 alpha=159.88 beta=159.88 gamma=28.61
Fractional positions:
1 La 0.0851 0.5851 0.5000
2 La 0.4149 0.9149 0.5000
3 La 0.5851 0.0851 0.5000
4 La 0.9149 0.4149 0.5000
5 Nd 0.1933 0.1933 0.0000
6 Nd 0.8067 0.8067 0.0000
7 Bi 0.3187 0.3187 0.0000
8 Bi 0.5000 0.5000 0.0000
9 Bi 0.6813 0.6813 0.0000
10 N 0.1076 0.1076 0.0000
11 N 0.8924 0.8924 0.0000

***

# 2
A plane-wave DFT calculation with PBE was carried out for crystalline La6Bi2NO at its relaxed geometry.

Properties
Space group   No. 71
Magnetization   0.00 μB per formula unit
Formation energy from raw total energies   -1.27 eV/atom
Uncorrected energy   -63.34 eV per cell

Unit cell a=7.2090 b=7.2090 c=7.2090 alpha=120.03 beta=119.93 gamma=90.04
Fractional positions:
1 La 0.2483 0.2483 0.0000
2 La 0.2482 0.2482 0.4964
3 La 0.2482 0.7518 0.0000
4 La 0.7518 0.2482 0.0000
5 La 0.7517 0.7517 0.0000
6 La 0.7518 0.7518 0.5036
7 Bi 0.2500 0.7500 0.5000
8 Bi 0.7500 0.2500 0.5000
9 N 0.0000 0.0000 0.0000
10 O 0.5000 0.5000 0.0000

***

Question: formation energy from raw total energies of number 1 (La4Nd2Bi3N2)?
Answer: -1.06 eV/atom